Entry 1:
The following is a PBE calculation of a relaxed structure of NaGaSn, from Alexandria.

## Properties
formation energy from the elements = -0.09 eV per atom
uncorrected energy = -0.1056 Ha/atom

CIF file:
```
data_NaGaSn
_chemical_formula_sum 'Na4 Ga4 Sn4'
_cell_length_a 6.5357
_cell_length_b 4.5128
_cell_length_c 9.8476
_cell_angle_alpha 90.00
_cell_angle_beta 90.00
_cell_angle_gamma 90.00
_symmetry_space_group_name_H-M 'P n m a'
_symmetry_Int_Tables_number 62
loop_
_symmetry_equiv_pos_as_xyz
'x,y,z'
'-x,-y,-z'
'-x+1/2,-y,z+1/2'
'x+1/2,y,-z+1/2'
'x+1/2,-y+1/2,-z+1/2'
'-x+1/2,y+1/2,z+1/2'
'-x,y+1/2,-z'
'x,-y+1/2,z'
loop_
_atom_site_label
_atom_site_type_symbol
_atom_site_fract_x
_atom_site_fract_y
_atom_site_fract_z
Na1 Na 0.1212 0.2500 0.0918
Ga1 Ga 0.0993 0.2500 0.7336
Sn1 Sn 0.1227 0.2500 0.4208
```

---

Entry 2:
The following is a PBE calculation of a relaxed structure of Na3Ga5Sn2, from Alexandria.

## Properties
formation energy from the elements = -0.09 eV per atom
uncorrected energy = -0.1030 Ha/atom

CIF file:
```
data_Na3Ga5Sn2
_chemical_formula_sum 'Na12 Ga20 Sn8'
_cell_length_a 12.0192
_cell_length_b 12.7951
_cell_length_c 6.3820
_cell_angle_alpha 90.00
_cell_angle_beta 90.00
_cell_angle_gamma 90.00
_symmetry_space_group_name_H-M 'I b a m'
_symmetry_Int_Tables_number 72
_symmetry_space_group_name_Hall '-I 2 2c'
loop_
_atom_site_label
_atom_site_type_symbol
_atom_site_fract_x
_atom_site_fract_y
_atom_site_fract_z
Na1 Na 0.0000 0.0000 0.2500
Na2 Na 0.2367 0.3887 0.0000
Ga1 Ga 0.0000 0.2525 0.2500
Ga2 Ga 0.0000 0.5000 0.2500
Ga3 Ga 0.1215 0.3707 0.5000
Sn1 Sn 0.1539 0.1420 0.0000
```

---

Short version: theoretical density = 4.83 4.43 g/cm³, in the order given.